Record 1
Entry from Alexandria via LeMat-Bulk: an optimized crystal structure of ScTa4Cu (PBE).

abc: 7.774 7.774 7.774
angles: 90.00 90.00 90.00
Space group F-43m (No. 216)
Asymmetric unit:
Sc 0.000 0.000 0.000
Ta 0.127 0.127 0.627
Cu 0.250 0.250 0.250

Values from the calculation:
The total DFT energy (no corrections) is -9.21 eV per atom. The value obtained for the formation energy is 0.43 eV/atom. Its crystal system is cubic.


Record 2
Entry from Alexandria via LeMat-Bulk: an optimized crystal structure of Sc4TaCu (PBE).

abc: 7.967 7.967 7.967
angles: 90.00 90.00 90.00
Space group F-43m (No. 216)
Asymmetric unit:
Sc 0.124 0.124 0.124
Ta 0.250 0.250 0.750
Cu 0.000 0.000 0.500

Values from the calculation:
The total DFT energy (no corrections) is -6.26 eV per atom. The value obtained for the formation energy is 0.62 eV/atom. Its crystal system is cubic.


Record 3
Entry from Alexandria via LeMat-Bulk: an optimized crystal structure of Sc3TaCu (PBE).

abc: 4.845 4.845 4.845
angles: 90.00 90.00 90.00
Space group Pm-3m (No. 221)
Asymmetric unit:
Sc 0.000 0.000 0.500
Ta 0.500 0.500 0.500
Cu 0.000 0.000 0.000

Values from the calculation:
The total DFT energy (no corrections) is -6.37 eV per atom. The value obtained for the formation energy is 0.62 eV/atom. The relative energy among the computed polymorphs comes out at 0 meV/atom. Its crystal system is cubic.


Record 4
Entry from Alexandria via LeMat-Bulk: an optimized crystal structure of ScTaCu2 (PBE).

abc: 3.014 4.163 5.335
angles: 90.00 105.70 90.00
Space group Pm (No. 6)
Asymmetric unit:
Sc 0.000 0.000 0.000
Ta 0.695 0.500 0.381
Cu 0.279 0.000 0.543
Cu 0.418 0.500 0.834

Values from the calculation:
The total DFT energy (no corrections) is -6.57 eV per atom. The value obtained for the formation energy is 0.02 eV/atom. The relative energy among the computed polymorphs comes out at 36 meV/atom. Its crystal system is monoclinic.


Record 5
Entry from Alexandria via LeMat-Bulk: an optimized crystal structure of ScTaCu2 (PBE).

abc: 2.991 4.513 9.515
angles: 90.00 90.00 90.00
Space group Imm2 (No. 44)
Asymmetric unit:
Sc 0.000 0.000 0.000
Ta 0.000 0.500 0.773
Cu 0.000 0.000 0.523
Cu 0.000 0.500 0.231

Values from the calculation:
The total DFT energy (no corrections) is -6.51 eV per atom. The value obtained for the formation energy is 0.08 eV/atom. The relative energy among the computed polymorphs comes out at 90 meV/atom. Its crystal system is orthorhombic.


Record 6
Entry from Alexandria via LeMat-Bulk: an optimized crystal structure of ScTaCuTc (PBE).

abc: 6.394 6.394 6.394
angles: 90.00 90.00 90.00
Space group F-43m (No. 216)
Asymmetric unit:
Sc 0.000 0.000 0.000
Ta 0.000 0.000 0.500
Cu 0.250 0.250 0.750
Tc 0.250 0.250 0.250

Values from the calculation:
The total DFT energy (no corrections) is -8.33 eV per atom. The value obtained for the formation energy is -0.17 eV/atom. Its crystal system is cubic.


Record 7
Entry from Alexandria via LeMat-Bulk: an optimized crystal structure of ScTaTlCu2 (PBE).

abc: 4.747 4.747 5.325
angles: 90.00 90.00 90.00
Space group P4/mmm (No. 123)
Asymmetric unit:
Sc 0.000 0.000 0.000
Ta 0.500 0.500 0.500
Tl 0.500 0.500 0.000
Cu 0.000 0.500 0.500

Values from the calculation:
The total DFT energy (no corrections) is -4.76 eV per atom. The value obtained for the formation energy is 0.99 eV/atom. Its crystal system is tetragonal.


Record 8
Entry from Alexandria via LeMat-Bulk: an optimized crystal structure of TbSc2Cu6 (PBE).

abc: 3.348 7.041 12.996
angles: 90.00 90.00 90.00
Space group Immm (No. 71)
Asymmetric unit:
Tb 0.000 0.000 0.000
Sc 0.000 0.500 0.138
Cu 0.000 0.176 0.500
Cu 0.000 0.314 0.322

Values from the calculation:
The total DFT energy (no corrections) is -4.80 eV per atom. The value obtained for the formation energy is -0.14 eV/atom. Its crystal system is orthorhombic.